1.
Entry from the Alexandria database: a relaxed Ba2TlOs crystal (PBE-GGA).

The total magnetic moment is 1.196 μB per cell. The relative energy among the computed polymorphs comes out at 340.0 meV per atom. The value obtained for the formation enthalpy at 0 K is 14.9 kcal/mol of atoms.

Cell: 10.010 10.010 10.010 Å, 24.41 24.41 24.41°
Sites, in units of the cell vectors:
Ba (0.233, 0.233, 0.233)
Ba (0.767, 0.767, 0.767)
Tl (0.000, 0.000, 0.000)
Os (0.500, 0.500, 0.500)

---

2.
Entry from the Alexandria database: a relaxed La4Cd2Hg3 crystal (PBE-GGA).

The total magnetic moment is 0.002 μB per cell. The value obtained for the formation enthalpy at 0 K is -8.7 kcal/mol of atoms.

Cell: 5.992 5.992 9.776 Å, 106.69 106.69 50.78°
Sites, in units of the cell vectors:
La (0.049, 0.049, 0.347)
La (0.342, 0.342, 0.094)
La (0.658, 0.658, 0.906)
La (0.951, 0.951, 0.653)
Cd (0.286, 0.286, 0.733)
Cd (0.714, 0.714, 0.267)
Hg (0.000, 0.000, 0.000)
Hg (0.357, 0.357, 0.435)
Hg (0.643, 0.643, 0.565)

---

3.
Entry from the Alexandria database: a relaxed Ba2CaIn2As4 crystal (PBE-GGA).

The total magnetic moment is 0.000 μB per cell. The value obtained for the formation enthalpy at 0 K is -19.2 kcal/mol of atoms.

Cell: 8.572 8.572 7.833 Å, 107.49 107.49 29.39°
Sites, in units of the cell vectors:
Ba (0.123, 0.123, 0.052)
Ba (0.877, 0.877, 0.948)
Ca (0.000, 0.000, 0.500)
In (0.334, 0.334, 0.510)
In (0.666, 0.666, 0.490)
As (0.213, 0.213, 0.708)
As (0.482, 0.482, 0.760)
As (0.518, 0.518, 0.240)
As (0.787, 0.787, 0.292)

---

4.
Entry from the Alexandria database: a relaxed PaNb2Fe crystal (PBE-GGA).

The total magnetic moment is 1.147 μB per cell. The relative energy among the computed polymorphs comes out at 265.7 meV per atom. The value obtained for the formation enthalpy at 0 K is 10.5 kcal/mol of atoms.

Cell: 9.881 9.881 9.881 Å, 17.27 17.27 17.27°
Sites, in units of the cell vectors:
Pa (0.000, 0.000, 0.000)
Nb (0.097, 0.097, 0.097)
Nb (0.903, 0.903, 0.903)
Fe (0.500, 0.500, 0.500)

---

5.
Entry from the Alexandria database: a relaxed Tb2SmErBi4 crystal (PBE-GGA).

The total magnetic moment is 0.001 μB per cell. The value obtained for the formation enthalpy at 0 K is -20.1 kcal/mol of atoms.

Cell: 7.789 4.501 7.791 Å, 90.00 109.47 90.00°
Sites, in units of the cell vectors:
Tb (0.000, 0.000, 0.000)
Tb (0.500, 0.500, 0.000)
Sm (0.000, 0.500, 0.500)
Er (0.500, 0.000, 0.500)
Bi (0.254, 0.000, 0.752)
Bi (0.254, 0.500, 0.251)
Bi (0.746, 0.000, 0.248)
Bi (0.746, 0.500, 0.749)

---

6.
Entry from the Alexandria database: a relaxed K2BrO3 crystal (PBE-GGA).

The total magnetic moment is 2.069 μB per cell. Its formation energy from raw total energies is -0.65 eV/atom.

Cell: 9.025 7.638 7.210 Å, 74.80 54.76 50.44°
Sites, in units of the cell vectors:
K (0.229, 0.771, 0.771)
K (0.250, 0.250, 0.250)
K (0.750, 0.750, 0.750)
K (0.771, 0.229, 0.229)
Br (0.230, 0.230, 0.770)
Br (0.770, 0.770, 0.230)
O (0.023, 0.275, 0.725)
O (0.275, 0.023, 0.977)
O (0.370, 0.370, 0.630)
O (0.630, 0.630, 0.370)
O (0.725, 0.977, 0.023)
O (0.977, 0.725, 0.275)

---

7.
Entry from the Alexandria database: a relaxed AcRu crystal (PBE-GGA).

The total magnetic moment is 0.000 μB per cell. The value obtained for the formation enthalpy at 0 K is -1.9 kcal/mol of atoms.

Cell: 8.654 4.457 5.891 Å, 90.00 90.00 90.00°
Sites, in units of the cell vectors:
Ac (0.177, 0.250, 0.085)
Ac (0.323, 0.750, 0.585)
Ac (0.677, 0.250, 0.415)
Ac (0.823, 0.750, 0.915)
Ru (0.025, 0.250, 0.571)
Ru (0.475, 0.750, 0.071)
Ru (0.525, 0.250, 0.929)
Ru (0.975, 0.750, 0.429)

---

8.
Entry from the Alexandria database: a relaxed PaNiSb2 crystal (PBE-GGA).

The total magnetic moment is 0.000 μB per cell. The relative energy among the computed polymorphs comes out at 0.0 meV per atom. Its formation energy from raw total energies is -0.55 eV/atom.

Cell: 4.387 4.387 9.093 Å, 90.00 90.00 90.00°
Sites, in units of the cell vectors:
Pa (0.250, 0.250, 0.231)
Pa (0.750, 0.750, 0.769)
Ni (0.250, 0.750, 0.000)
Ni (0.750, 0.250, 0.000)
Sb (0.250, 0.250, 0.843)
Sb (0.250, 0.750, 0.500)
Sb (0.750, 0.250, 0.500)
Sb (0.750, 0.750, 0.157)

---

9.
Entry from the Alexandria database: a relaxed La2TiPbN crystal (PBE-GGA).

The total magnetic moment is 1.366 μB per cell. Its formation energy from raw total energies is -0.82 eV/atom.

Cell: 5.341 5.341 4.158 Å, 90.00 90.00 90.00°
Sites, in units of the cell vectors:
La (0.000, 0.500, 0.000)
La (0.500, 0.000, 0.000)
Ti (0.000, 0.000, 0.500)
Pb (0.500, 0.500, 0.500)
N (0.000, 0.000, 0.000)

---

10.
Entry from the Alexandria database: a relaxed Re2NiTeCl crystal (PBE-GGA).

The total magnetic moment is 4.632 μB per cell. Its formation energy from raw total energies is 1.56 eV/atom.

Cell: 4.771 4.771 4.241 Å, 90.00 90.00 90.00°
Sites, in units of the cell vectors:
Re (0.000, 0.500, 0.000)
Re (0.500, 0.000, 0.000)
Ni (0.000, 0.000, 0.000)
Te (0.500, 0.500, 0.500)
Cl (0.000, 0.000, 0.500)

---

11.
Entry from the Alexandria database: a relaxed Sc6TiS8 crystal (PBE-GGA).

The total magnetic moment is 1.672 μB per cell. The relative energy among the computed polymorphs comes out at 0.0 meV per atom. Its formation energy from raw total energies is -1.85 eV/atom.

Cell: 7.324 7.324 7.324 Å, 60.00 60.00 60.00°
Sites, in units of the cell vectors:
Sc (0.000, 0.000, 0.500)
Sc (0.000, 0.500, 0.000)
Sc (0.000, 0.500, 0.500)
Sc (0.500, 0.000, 0.000)
Sc (0.500, 0.000, 0.500)
Sc (0.500, 0.500, 0.000)
Ti (0.000, 0.000, 0.000)
S (0.247, 0.247, 0.753)
S (0.247, 0.753, 0.247)
S (0.247, 0.753, 0.753)
S (0.250, 0.250, 0.250)
S (0.750, 0.750, 0.750)
S (0.753, 0.247, 0.247)
S (0.753, 0.247, 0.753)
S (0.753, 0.753, 0.247)

---

12.
Entry from the Alexandria database: a relaxed CaTb2Zn3 crystal (PBE-GGA).

The total magnetic moment is 0.000 μB per cell. The value obtained for the formation enthalpy at 0 K is -7.2 kcal/mol of atoms.

Cell: 3.598 3.598 10.951 Å, 90.00 90.00 90.00°
Sites, in units of the cell vectors:
Ca (0.000, 0.000, 0.000)
Tb (0.000, 0.000, 0.338)
Tb (0.000, 0.000, 0.662)
Zn (0.500, 0.500, 0.180)
Zn (0.500, 0.500, 0.500)
Zn (0.500, 0.500, 0.820)

---

13.
Entry from the Alexandria database: a relaxed YFeBr2 crystal (PBE-GGA).

The total magnetic moment is 3.011 μB per cell. The relative energy among the computed polymorphs comes out at 11.5 meV per atom. Its formation energy from raw total energies is -0.57 eV/atom.

Cell: 3.505 3.505 8.496 Å, 90.00 90.00 90.00°
Sites, in units of the cell vectors:
Y (0.000, 0.000, 0.000)
Fe (0.500, 0.500, 0.784)
Br (0.000, 0.000, 0.646)
Br (0.500, 0.500, 0.222)

---

14.
Entry from the Alexandria database: a relaxed MnHgH crystal (PBE-GGA).

The total magnetic moment is 6.753 μB per cell. The relative energy among the computed polymorphs comes out at 33.0 meV per atom.

Cell: 3.180 4.993 5.601 Å, 75.95 73.79 71.70°
Sites, in units of the cell vectors:
Mn (0.186, 0.231, 0.402)
Mn (0.814, 0.769, 0.598)
Hg (0.426, 0.298, 0.849)
Hg (0.574, 0.702, 0.151)
H (0.217, 0.921, 0.643)
H (0.783, 0.079, 0.357)

---

15.
Entry from the Alexandria database: a relaxed Pu2U3 crystal (PBE-GGA).

The total magnetic moment is 0.000 μB per cell. The value obtained for the formation enthalpy at 0 K is 3.3 kcal/mol of atoms.

Cell: 7.010 7.010 7.010 Å, 52.18 52.18 52.18°
Sites, in units of the cell vectors:
Pu (0.158, 0.158, 0.158)
Pu (0.342, 0.342, 0.342)
Pu (0.658, 0.658, 0.658)
Pu (0.842, 0.842, 0.842)
U (0.082, 0.750, 0.418)
U (0.250, 0.582, 0.918)
U (0.418, 0.082, 0.750)
U (0.582, 0.918, 0.250)
U (0.750, 0.418, 0.082)
U (0.918, 0.250, 0.582)

---

16.
Entry from the Alexandria database: a relaxed Y2Er5Ni2 crystal (PBE-GGA).

The total magnetic moment is 0.003 μB per cell. The value obtained for the formation enthalpy at 0 K is -3.6 kcal/mol of atoms.

Cell: 10.534 10.534 6.898 Å, 90.00 90.00 38.44°
Sites, in units of the cell vectors:
Y (0.231, 0.231, 0.000)
Y (0.269, 0.269, 0.500)
Y (0.731, 0.731, 0.500)
Y (0.769, 0.769, 0.000)
Er (0.000, 0.000, 0.000)
Er (0.068, 0.716, 0.674)
Er (0.216, 0.568, 0.174)
Er (0.284, 0.932, 0.674)
Er (0.432, 0.784, 0.174)
Er (0.500, 0.500, 0.500)
Er (0.568, 0.216, 0.826)
Er (0.716, 0.068, 0.326)
Er (0.784, 0.432, 0.826)
Er (0.932, 0.284, 0.326)
Ni (0.122, 0.878, 0.379)
Ni (0.378, 0.622, 0.879)
Ni (0.622, 0.378, 0.121)
Ni (0.878, 0.122, 0.621)

---

17.
Entry from the Alexandria database: a relaxed Sr2NpMnN4 crystal (PBE-GGA).

The total magnetic moment is 6.001 μB per cell. Its formation energy from raw total energies is -0.65 eV/atom.

Cell: 5.600 5.600 5.600 Å, 116.09 116.09 96.91°
Sites, in units of the cell vectors:
Sr (0.000, 0.000, 0.000)
Sr (0.750, 0.250, 0.500)
Np (0.250, 0.750, 0.500)
Mn (0.500, 0.500, 0.000)
N (0.214, 0.158, 0.595)
N (0.381, 0.786, 0.943)
N (0.562, 0.619, 0.405)
N (0.842, 0.438, 0.057)

---

18.
Entry from the Alexandria database: a relaxed OsW2N crystal (PBE-GGA).

The total magnetic moment is 0.000 μB per cell. Its formation energy from raw total energies is -0.05 eV/atom.

Cell: 7.497 7.497 7.497 Å, 21.90 21.90 21.90°
Sites, in units of the cell vectors:
Os (0.000, 0.000, 0.000)
W (0.562, 0.562, 0.562)
W (0.765, 0.765, 0.765)
N (0.163, 0.163, 0.163)

---

19.
Entry from the Alexandria database: a relaxed Ir2Au crystal (PBE-GGA).

The total magnetic moment is 0.000 μB per cell. The relative energy among the computed polymorphs comes out at 198.3 meV per atom. The value obtained for the formation enthalpy at 0 K is 9.7 kcal/mol of atoms.

Cell: 5.609 3.994 8.386 Å, 90.00 90.00 90.00°
Sites, in units of the cell vectors:
Ir (0.115, 0.250, 0.085)
Ir (0.123, 0.250, 0.763)
Ir (0.377, 0.750, 0.263)
Ir (0.385, 0.750, 0.585)
Ir (0.615, 0.250, 0.415)
Ir (0.623, 0.250, 0.737)
Ir (0.877, 0.750, 0.237)
Ir (0.885, 0.750, 0.915)
Au (0.121, 0.250, 0.418)
Au (0.379, 0.750, 0.918)
Au (0.621, 0.250, 0.082)
Au (0.879, 0.750, 0.582)

---

20.
Entry from the Alexandria database: a relaxed PmH2Cl3 crystal (PBE-GGA).

The total magnetic moment is 4.000 μB per cell. Its total energy is -3.5794 eV/atom.

Cell: 5.452 8.254 9.125 Å, 90.00 107.29 90.00°
Sites, in units of the cell vectors:
Pm (0.000, 0.250, 0.000)
Pm (0.000, 0.750, 0.000)
H (0.302, 0.250, 0.608)
H (0.306, 0.750, 0.608)
H (0.694, 0.250, 0.392)
H (0.698, 0.750, 0.392)
Cl (0.103, 0.000, 0.207)
Cl (0.103, 0.500, 0.207)
Cl (0.500, 0.250, 0.000)
Cl (0.500, 0.750, 0.000)
Cl (0.897, 0.000, 0.793)
Cl (0.897, 0.500, 0.793)

---

21.
Entry from the Alexandria database: a relaxed YCoAg2 crystal (PBE-GGA).

The total magnetic moment is 0.221 μB per cell. The value obtained for the formation enthalpy at 0 K is 1.2 kcal/mol of atoms.

Cell: 5.036 5.036 5.036 Å, 129.90 129.90 73.57°
Sites, in units of the cell vectors:
Y (0.000, 0.000, 0.000)
Co (0.250, 0.750, 0.500)
Ag (0.500, 0.500, 0.000)
Ag (0.750, 0.250, 0.500)

---

22.
Entry from the Alexandria database: a relaxed CdGaI2 crystal (PBE-GGA).

The total magnetic moment is 0.000 μB per cell. The relative energy among the computed polymorphs comes out at 0.0 meV per atom. Its formation energy from raw total energies is -0.15 eV/atom.

Cell: 9.915 9.915 9.915 Å, 141.62 141.62 55.41°
Sites, in units of the cell vectors:
Cd (0.000, 0.000, 0.000)
Cd (0.750, 0.250, 0.500)
Ga (0.250, 0.750, 0.500)
Ga (0.500, 0.500, 0.000)
I (0.102, 0.625, 0.977)
I (0.375, 0.352, 0.477)
I (0.648, 0.125, 0.023)
I (0.875, 0.898, 0.523)

---

23.
Entry from the Alexandria database: a relaxed TlAgNO2 crystal (PBE-GGA).

The total magnetic moment is 2.643 μB per cell. Its formation energy from raw total energies is 1.03 eV/atom.

Cell: 4.332 4.332 4.408 Å, 90.00 90.00 90.00°
Sites, in units of the cell vectors:
Tl (0.000, 0.000, 0.000)
Ag (0.500, 0.500, 0.500)
N (0.000, 0.000, 0.500)
O (0.000, 0.500, 0.000)
O (0.500, 0.000, 0.000)

---

24.
Entry from the Alexandria database: a relaxed Cr2IrPt crystal (PBE-GGA).

The total magnetic moment is 0.141 μB per cell. The value obtained for the formation enthalpy at 0 K is -2.1 kcal/mol of atoms.

Cell: 4.595 2.780 4.656 Å, 90.00 108.45 90.00°
Sites, in units of the cell vectors:
Cr (0.000, 0.000, 0.000)
Cr (0.000, 0.500, 0.500)
Ir (0.500, 0.000, 0.500)
Pt (0.500, 0.500, 0.000)

---

25.
Entry from the Alexandria database: a relaxed CaMg2Br6 crystal (PBE-GGA).

The total magnetic moment is 0.000 μB per cell. The relative energy among the computed polymorphs comes out at 0.0 meV per atom. Its formation energy from raw total energies is -1.66 eV/atom.

Cell: 9.254 9.254 8.490 Å, 106.28 106.28 24.97°
Sites, in units of the cell vectors:
Ca (0.000, 0.000, 0.000)
Mg (0.330, 0.330, 0.661)
Mg (0.670, 0.670, 0.339)
Br (0.168, 0.168, 0.119)
Br (0.175, 0.175, 0.560)
Br (0.487, 0.487, 0.749)
Br (0.513, 0.513, 0.251)
Br (0.825, 0.825, 0.440)
Br (0.832, 0.832, 0.881)